A plane-wave DFT calculation with GGA-PBE was carried out for a geometry-optimized LiYMgSn2 structure.

a b c (Å): 5.753 5.546 5.753
angles (deg): 90.00 90.00 90.00
Each line ends with the local moment (μB).
Atoms (fractional coordinates):
Li: 0.000 0.500 0.000  0.04
Mg: 0.500 0.500 0.500  0.00
Y: 0.000 0.000 0.000  0.12
Sn: 0.000 0.000 0.500  0.00
Sn: 0.500 0.000 0.000  0.00

Summary:
For the mass density, the calculation gives 3.23 g cm⁻³. The uncorrected energy is -3.01 eV/atom. Its density of states at the Fermi level is 0.794 states/eV per atom. The value obtained for the spin magnetization is 0.3 μB/f.u.

A plane-wave DFT calculation with GGA-PBE was carried out for a geometry-optimized LiYMgSn structure.

a b c (Å): 5.108 5.108 5.108
angles (deg): 60.00 60.00 60.00
Atoms (fractional coordinates):
Li: 0.250 0.250 0.250
Y: 0.750 0.750 0.750
Mg: 0.500 0.500 0.500
Sn: 0.000 0.000 0.000

Summary:
For the mass density, the calculation gives 4.21 g cm⁻³. The uncorrected energy is -3.85 eV/atom. Its density of states at the Fermi level is 0.212 states/eV per atom. The value obtained for the spin magnetization is 0.0 μB/f.u.

A plane-wave DFT calculation with GGA-PBE was carried out for a geometry-optimized Li3Mg2Zn2Sn4 structure.

a b c (Å): 5.367 5.367 10.503
angles (deg): 104.80 104.80 90.00
Atoms (fractional coordinates):
Li: 0.850 0.850 0.699
Li: 0.000 0.000 0.000
Li: 0.150 0.150 0.301
Sn: 0.085 0.585 0.170
Sn: 0.585 0.085 0.170
Sn: 0.415 0.915 0.830
Sn: 0.915 0.415 0.830
Zn: 0.562 0.562 0.125
Zn: 0.438 0.438 0.875
Mg: 0.703 0.703 0.406
Mg: 0.297 0.297 0.594

Summary:
For the mass density, the calculation gives 3.97 g cm⁻³. The uncorrected energy is -2.39 eV/atom. Its density of states at the Fermi level is 0.468 states/eV per atom. The value obtained for the spin magnetization is 0.0 μB/f.u.